A plane-wave DFT calculation with GGA-PBE was carried out for crystalline ZrCuIr at its relaxed geometry.

Results
* energy above the lowest structure with this stoichiometry: 0.596 eV/atom
* total magnetization: 0.000 μB/atom
* energy of formation: 12 meV/atom

POSCAR file:
```
ZrCuIr
1.0
2.886 0.000 0.000
-1.443 2.499 0.000
0.000 0.000 6.784
Zr Cu Ir
1 1 1
direct
0.000 0.000 0.000
0.667 0.333 0.349
0.333 0.667 0.660
```

A plane-wave DFT calculation with GGA-PBE was carried out for crystalline ZrCuIr2 at its relaxed geometry.

Results
* total magnetization: 0.000 μB/atom
* energy of formation: -297 meV/atom

POSCAR file:
```
ZrCuIr2
1.0
2.807 0.000 0.000
0.000 4.278 0.000
-1.357 0.000 5.225
Zr Cu Ir
1 1 2
direct
0.000 0.000 0.000
0.500 0.000 0.500
0.347 0.500 0.723
0.653 0.500 0.277
```

A plane-wave DFT calculation with GGA-PBE was carried out for crystalline Zr2CuIr at its relaxed geometry.

Results
* total magnetization: 0.000 μB/atom
* energy of formation: 466 meV/atom

POSCAR file:
```
Zr2CuIr
1.0
-1.482 2.455 5.213
1.482 -2.455 5.213
1.482 2.455 -5.213
Zr Cu Ir
2 1 1
direct
0.248 0.248 0.000
0.752 0.752 0.000
0.500 0.500 0.000
0.000 0.000 0.000
```

A plane-wave DFT calculation with GGA-PBE was carried out for crystalline ZrCuIr at its relaxed geometry.

Results
* energy above the lowest structure with this stoichiometry: 0.362 eV/atom
* total magnetization: 0.000 μB/atom
* energy of formation: -223 meV/atom

POSCAR file:
```
ZrCuIr
1.0
0.000 3.078 3.078
3.078 0.000 3.078
3.078 3.078 0.000
Zr Cu Ir
1 1 1
direct
0.000 0.000 0.000
0.500 0.500 0.500
0.750 0.750 0.750
```

A plane-wave DFT calculation with GGA-PBE was carried out for crystalline Zr2CuIr2 at its relaxed geometry.

Results
* energy above the lowest structure with this stoichiometry: 0.000 eV/atom
* total magnetization: 0.000 μB/atom
* energy of formation: -615 meV/atom

POSCAR file:
```
Zr2CuIr2
1.0
-2.088 2.789 3.844
2.088 -2.789 3.844
2.088 2.789 -3.844
Zr Cu Ir
2 1 2
direct
0.202 0.202 0.000
0.798 0.798 0.000
0.500 0.000 0.500
0.235 0.500 0.735
0.765 0.500 0.265
```

A plane-wave DFT calculation with GGA-PBE was carried out for crystalline ZrCu2Ir2 at its relaxed geometry.

Results
* energy above the lowest structure with this stoichiometry: 0.000 eV/atom
* total magnetization: 0.000 μB/atom
* energy of formation: -169 meV/atom

POSCAR file:
```
ZrCu2Ir2
1.0
7.074 0.000 0.000
0.000 7.074 0.000
0.000 0.000 2.979
Zr Cu Ir
2 4 4
direct
0.000 0.000 0.000
0.500 0.500 0.000
0.123 0.377 0.000
0.377 0.877 0.000
0.623 0.123 0.000
0.877 0.623 0.000
0.174 0.674 0.500
0.326 0.174 0.500
0.674 0.826 0.500
0.826 0.326 0.500
```

A plane-wave DFT calculation with GGA-PBE was carried out for crystalline Zr4Cu3Ir at its relaxed geometry.

Results
* total magnetization: 0.000 μB/atom
* energy of formation: -338 meV/atom

POSCAR file:
```
Zr4Cu3Ir
1.0
2.319 1.339 7.631
-2.319 1.339 7.631
0.000 -2.678 7.631
Zr Cu Ir
4 3 1
direct
0.124 0.124 0.124
0.374 0.374 0.374
0.626 0.626 0.626
0.876 0.876 0.876
0.244 0.244 0.244
0.500 0.500 0.500
0.756 0.756 0.756
0.000 0.000 0.000
```

A plane-wave DFT calculation with GGA-PBE was carried out for crystalline Zr2CuIr at its relaxed geometry.

Results
* total magnetization: 0.000 μB/atom
* energy of formation: -568 meV/atom

POSCAR file:
```
Zr2CuIr
1.0
5.312 0.000 0.000
0.000 4.269 0.000
-1.769 0.000 6.482
Zr Cu Ir
4 2 2
direct
0.214 0.250 0.434
0.223 0.250 0.944
0.777 0.750 0.056
0.786 0.750 0.566
0.334 0.750 0.708
0.666 0.250 0.292
0.327 0.750 0.216
0.673 0.250 0.784
```